*A*
A relaxed Cs2RhPb crystal, computed with GGA-PBE.

Results
Its crystal system is tetragonal.

abc: 12.923 12.923 5.196
angles: 90.00 90.00 90.00
Element x y z (fractional)
Cs: 0.086 0.250 0.125
Cs: 0.250 0.586 0.375
Cs: 0.250 0.914 0.875
Cs: 0.414 0.250 0.625
Cs: 0.586 0.750 0.625
Cs: 0.750 0.086 0.875
Cs: 0.750 0.414 0.375
Cs: 0.914 0.750 0.125
Rh: 0.000 0.000 0.000
Rh: 0.000 0.500 0.250
Rh: 0.500 0.000 0.750
Rh: 0.500 0.500 0.500
Pb: 0.000 0.000 0.500
Pb: 0.000 0.500 0.750
Pb: 0.500 0.000 0.250
Pb: 0.500 0.500 0.000



*B*
A relaxed Cs2RhPb crystal, computed with GGA-PBE.

Results
Its crystal system is cubic.

abc: 8.507 8.507 8.507
angles: 90.00 90.00 90.00
Element x y z (fractional)
Cs: 0.250 0.250 0.250
Cs: 0.250 0.250 0.750
Cs: 0.250 0.750 0.250
Cs: 0.250 0.750 0.750
Cs: 0.750 0.250 0.250
Cs: 0.750 0.250 0.750
Cs: 0.750 0.750 0.250
Cs: 0.750 0.750 0.750
Rh: 0.000 0.000 0.000
Rh: 0.000 0.500 0.500
Rh: 0.500 0.000 0.500
Rh: 0.500 0.500 0.000
Pb: 0.000 0.000 0.500
Pb: 0.000 0.500 0.000
Pb: 0.500 0.000 0.000
Pb: 0.500 0.500 0.500



*A* comes first in stability; the runner-up is 632 meV/atom higher.